Model A:
A plane-wave DFT calculation with PBE was carried out for Li3Re after structural relaxation.

```
8
Lattice="-1.817 4.616 0.109 -1.162 -0.571 4.791 4.469 1.729 1.290" Properties=species:S:1:pos:R:3 pbc="T T T"
Li -1.944 3.177 2.477
Li -1.035 0.869 2.423
Li 1.363 0.436 4.238
Li 1.944 0.722 1.842
Li 0.209 2.740 0.377
Li 2.443 3.605 1.022
Re 0.000 0.000 0.000
Re 0.745 2.887 3.095
```

## Properties
Mass density in g/cm3: 5.63



Model B:
A plane-wave DFT calculation with PBE was carried out for Li3Re after structural relaxation.

```
8
Lattice="2.058 4.367 -2.962 -4.594 0.472 3.280 2.641 1.151 3.533" Properties=species:S:1:pos:R:3 pbc="T T T"
Li -3.512 1.007 3.767
Li 3.617 4.984 0.084
Li -1.232 0.781 2.137
Li 1.338 5.210 1.714
Li -2.484 3.170 2.294
Li 2.589 2.821 1.557
Re 0.458 3.134 3.049
Re -0.352 2.857 0.803
```

## Properties
Mass density in g/cm3: 5.56



Result of the stability comparison: model A is the least stable of them.